Crystalline Sr3Zn2Ag3 at its relaxed geometry, computed with PBE-GGA.

Cell lengths 4.738, 11.442, 15.978 Å; angles 90.00, 90.00, 90.00 degrees
Space group Cmcm (No. 63)
Unique sites:
Sr1 0.000 0.093 0.104
Sr2 0.000 0.379 0.250
Zn1 0.000 0.204 0.597
Ag1 0.000 0.321 0.750
Ag2 0.000 0.381 0.039

formation enthalpy at 0 K = -288.2 meV per atom
E_tot = -2.307 eV per atom
mass density = 5.50 g/cm³


Crystalline Sm12BiRu6 at its relaxed geometry, computed with PBE-GGA.

Cell lengths 10.088, 10.088, 10.088 Å; angles 90.00, 90.00, 90.00 degrees
Space group Im-3 (No. 204)
Unique sites:
Sm1 0.000 0.299 0.197
Bi1 0.000 0.000 0.000
Ru1 0.000 0.121 0.500

formation enthalpy at 0 K = -265.5 meV per atom
E_tot = -6.380 eV per atom
mass density = 8.47 g/cm³


Crystalline Re4P3 at its relaxed geometry, computed with PBE-GGA.

Cell lengths 2.903, 2.903, 24.863 Å; angles 90.00, 90.00, 90.00 degrees
Space group I4/mmm (No. 139)
Unique sites:
Re1 0.000 0.000 0.059
Re2 0.000 0.000 0.366
P1 0.000 0.000 0.192
P2 0.000 0.000 0.500

formation enthalpy at 0 K = -60.7 meV per atom
E_tot = -9.492 eV per atom
mass density = 13.28 g/cm³
ΔE to the lowest computed polymorph = 0 meV/atom